Record 1
# Pm2ScZn3Pt4

Pm2ScZn3Pt4 after structural relaxation (PBE, Alexandria).

```
Pm2ScZn3Pt4
1.0
4.113 0.000 0.000
0.000 4.113 0.000
0.000 0.000 11.589
Pm Sc Zn Pt
2 1 3 4
direct
0.000 0.500 0.232 Pm
0.500 0.000 0.768 Pm
0.000 0.000 0.500 Sc
0.000 0.500 0.869 Zn
0.500 0.000 0.131 Zn
0.500 0.500 0.500 Zn
0.000 0.000 0.000 Pt
0.000 0.500 0.651 Pt
0.500 0.000 0.349 Pt
0.500 0.500 0.000 Pt
```

Space group: P-4m2, No. 115
Crystal system: tetragonal
Uncorrected energy, eV per atom: -5.239

Record 2
# PrNd2O

PrNd2O after structural relaxation (PBE, Alexandria).

```
PrNd2O
1.0
3.643 0.000 0.000
-1.822 3.155 0.000
0.000 0.000 29.029
Pr Nd O
3 6 3
direct
0.000 0.000 0.000 Pr
0.333 0.667 0.667 Pr
0.667 0.333 0.333 Pr
0.000 0.000 0.120 Nd
0.000 0.000 0.880 Nd
0.333 0.667 0.547 Nd
0.333 0.667 0.786 Nd
0.667 0.333 0.214 Nd
0.667 0.333 0.453 Nd
0.000 0.000 0.500 O
0.333 0.667 0.167 O
0.667 0.333 0.833 O
```

Space group: R-3m, No. 166
Crystal system: trigonal
Formation energy without anion corrections, eV/f.u.: -4.6
Uncorrected energy, eV per atom: -5.965

Record 3
# Y3Sb4Au3

Y3Sb4Au3 after structural relaxation (PBE, Alexandria).

```
Y3Sb4Au3
1.0
-4.979 4.979 4.979
4.979 -4.979 4.979
4.979 4.979 -4.979
Y Sb Au
6 8 6
direct
0.125 0.750 0.875 Y
0.250 0.625 0.375 Y
0.375 0.250 0.625 Y
0.625 0.375 0.250 Y
0.750 0.875 0.125 Y
0.875 0.125 0.750 Y
0.000 0.322 0.500 Sb
0.000 0.822 0.500 Sb
0.178 0.178 0.178 Sb
0.322 0.500 0.000 Sb
0.500 0.000 0.322 Sb
0.500 0.000 0.822 Sb
0.678 0.678 0.678 Sb
0.822 0.500 0.000 Sb
0.125 0.875 0.250 Au
0.250 0.125 0.875 Au
0.375 0.625 0.750 Au
0.625 0.750 0.375 Au
0.750 0.375 0.625 Au
0.875 0.250 0.125 Au
```

Space group: I-43d, No. 220
Crystal system: cubic
Formation energy without anion corrections, eV/f.u.: -8.2
Uncorrected energy, eV per atom: -5.395

Record 4
# PrDy2Tc

PrDy2Tc after structural relaxation (PBE, Alexandria).

```
PrDy2Tc
1.0
3.454 0.000 0.000
-1.727 2.991 0.000
0.000 0.000 33.130
Pr Dy Tc
3 6 3
direct
0.000 0.000 0.000 Pr
0.333 0.667 0.667 Pr
0.667 0.333 0.333 Pr
0.000 0.000 0.106 Dy
0.000 0.000 0.894 Dy
0.333 0.667 0.560 Dy
0.333 0.667 0.773 Dy
0.667 0.333 0.227 Dy
0.667 0.333 0.440 Dy
0.000 0.000 0.500 Tc
0.333 0.667 0.167 Tc
0.667 0.333 0.833 Tc
```

Space group: R-3m, No. 166
Crystal system: trigonal
Uncorrected energy, eV per atom: -5.837

Record 5
# Ni2HPtAu

Ni2HPtAu after structural relaxation (PBE, Alexandria).

```
Ni2HPtAu
1.0
3.956 0.000 0.000
0.000 3.956 0.000
0.000 0.000 3.734
Ni H Pt Au
2 1 1 1
direct
0.000 0.500 0.000 Ni
0.500 0.000 0.000 Ni
0.000 0.000 0.000 H
0.000 0.000 0.500 Pt
0.500 0.500 0.500 Au
```

Space group: P4/mmm, No. 123
Crystal system: tetragonal
Uncorrected energy, eV per atom: -4.813

Record 6
# CdGa3Ag2

CdGa3Ag2 after structural relaxation (PBE, Alexandria).

```
CdGa3Ag2
1.0
8.151 -1.567 0.000
8.151 1.567 0.000
-2.685 0.000 8.821
Cd Ga Ag
2 6 4
direct
0.127 0.127 0.131 Cd
0.873 0.873 0.869 Cd
0.064 0.064 0.646 Ga
0.303 0.303 0.127 Ga
0.399 0.399 0.578 Ga
0.601 0.601 0.422 Ga
0.697 0.697 0.873 Ga
0.936 0.936 0.354 Ga
0.240 0.240 0.633 Ag
0.475 0.475 0.138 Ag
0.525 0.525 0.862 Ag
0.760 0.760 0.367 Ag
```

Space group: C2/m, No. 12
Crystal system: monoclinic
Uncorrected energy, eV per atom: -2.607

Record 7
# BaAl2Sb

BaAl2Sb after structural relaxation (PBE, Alexandria).

```
BaAl2Sb
1.0
7.712 0.000 0.000
0.000 7.712 0.000
0.000 0.000 7.712
Ba Al Sb
4 8 4
direct
0.000 0.000 0.000 Ba
0.000 0.500 0.500 Ba
0.500 0.000 0.500 Ba
0.500 0.500 0.000 Ba
0.000 0.000 0.500 Al
0.000 0.500 0.000 Al
0.250 0.250 0.750 Al
0.250 0.750 0.250 Al
0.500 0.000 0.000 Al
0.500 0.500 0.500 Al
0.750 0.250 0.250 Al
0.750 0.750 0.750 Al
0.250 0.250 0.250 Sb
0.250 0.750 0.750 Sb
0.750 0.250 0.750 Sb
0.750 0.750 0.250 Sb
```

Space group: F-43m, No. 216
Crystal system: cubic
Formation energy without anion corrections, eV/f.u.: 0.2
Uncorrected energy, eV per atom: -3.324

Record 8
# Li2SmMg10

Li2SmMg10 after structural relaxation (PBE, Alexandria).

```
Li2SmMg10
1.0
0.000 7.225 7.265
2.864 0.000 7.265
2.864 7.225 0.000
Li Sm Mg
2 1 10
direct
0.000 0.500 0.000 Li
0.500 0.000 0.500 Li
0.000 0.000 0.000 Sm
0.000 0.000 0.500 Mg
0.005 0.350 0.650 Mg
0.286 0.494 0.506 Mg
0.350 0.005 0.995 Mg
0.494 0.286 0.714 Mg
0.500 0.500 0.000 Mg
0.506 0.714 0.286 Mg
0.650 0.995 0.005 Mg
0.714 0.506 0.494 Mg
0.995 0.650 0.350 Mg
```

Space group: Fmmm, No. 69
Crystal system: orthorhombic
Uncorrected energy, eV per atom: -1.926

Record 9
# Rb3MnSb

Rb3MnSb after structural relaxation (PBE, Alexandria).

```
Rb3MnSb
1.0
7.097 0.000 0.000
0.000 7.097 0.000
0.000 0.000 7.097
Rb Mn Sb
3 1 1
direct
0.000 0.000 0.500 Rb
0.000 0.500 0.000 Rb
0.500 0.000 0.000 Rb
0.500 0.500 0.500 Mn
0.000 0.000 0.000 Sb
```

Space group: Pm-3m, No. 221
Crystal system: cubic
Formation energy without anion corrections, eV/f.u.: 2.3
Uncorrected energy, eV per atom: -2.772

Record 10
# Mg4CdPt

Mg4CdPt after structural relaxation (PBE, Alexandria).

```
Mg4CdPt
1.0
7.906 0.000 0.000
0.000 4.591 0.000
-2.687 0.000 7.666
Mg Cd Pt
8 2 2
direct
0.113 0.000 0.345 Mg
0.133 0.500 0.902 Mg
0.367 0.000 0.098 Mg
0.387 0.500 0.655 Mg
0.613 0.500 0.345 Mg
0.633 0.000 0.902 Mg
0.867 0.500 0.098 Mg
0.887 0.000 0.655 Mg
0.000 0.500 0.500 Cd
0.500 0.000 0.500 Cd
0.000 0.000 0.000 Pt
0.500 0.500 0.000 Pt
```

Space group: C2/m, No. 12
Crystal system: monoclinic
Uncorrected energy, eV per atom: -2.519

Record 11
# Tl3GaS

Tl3GaS after structural relaxation (PBE, Alexandria).

```
Tl3GaS
1.0
5.395 0.000 0.000
0.000 5.395 0.000
0.000 0.000 5.395
Tl Ga S
3 1 1
direct
0.000 0.000 0.500 Tl
0.000 0.500 0.000 Tl
0.500 0.000 0.000 Tl
0.000 0.000 0.000 Ga
0.500 0.500 0.500 S
```

Space group: Pm-3m, No. 221
Crystal system: cubic
Formation energy without anion corrections, eV/f.u.: 1.1
Uncorrected energy, eV per atom: -2.625

Record 12
# ZnAs2F

ZnAs2F after structural relaxation (PBE, Alexandria).

```
ZnAs2F
1.0
6.273 0.000 0.000
0.000 6.273 0.000
0.000 0.000 6.273
Zn As F
4 8 4
direct
0.000 0.000 0.000 Zn
0.000 0.500 0.500 Zn
0.500 0.000 0.500 Zn
0.500 0.500 0.000 Zn
0.250 0.250 0.250 As
0.250 0.250 0.750 As
0.250 0.750 0.250 As
0.250 0.750 0.750 As
0.750 0.250 0.250 As
0.750 0.250 0.750 As
0.750 0.750 0.250 As
0.750 0.750 0.750 As
0.000 0.000 0.500 F
0.000 0.500 0.000 F
0.500 0.000 0.000 F
0.500 0.500 0.500 F
```

Space group: Fm-3m, No. 225
Crystal system: cubic
Formation energy without anion corrections, eV/f.u.: -1.1
Uncorrected energy, eV per atom: -3.388

Record 13
# Tb2Nd3SmTm6

Tb2Nd3SmTm6 after structural relaxation (PBE, Alexandria).

```
Tb2Nd3SmTm6
1.0
3.090 -5.350 0.000
3.090 5.350 0.000
-2.051 0.000 11.512
Tb Nd Sm Tm
2 3 1 6
direct
0.167 0.833 0.000 Tb
0.833 0.167 0.000 Tb
0.000 0.000 0.500 Nd
0.333 0.667 0.500 Nd
0.667 0.333 0.500 Nd
0.500 0.500 0.000 Sm
0.084 0.417 0.752 Tm
0.249 0.249 0.248 Tm
0.417 0.084 0.752 Tm
0.583 0.916 0.248 Tm
0.751 0.751 0.752 Tm
0.916 0.583 0.248 Tm
```

Space group: C2/m, No. 12
Crystal system: monoclinic
Uncorrected energy, eV per atom: -4.574

Record 14
# LiAu2I4

LiAu2I4 after structural relaxation (PBE, Alexandria).

```
LiAu2I4
1.0
8.356 0.000 0.000
0.000 8.356 0.000
0.000 0.000 7.922
Li Au I
2 4 8
direct
0.000 0.000 0.000 Li
0.500 0.500 0.500 Li
0.000 0.500 0.250 Au
0.000 0.500 0.750 Au
0.500 0.000 0.250 Au
0.500 0.000 0.750 Au
0.144 0.689 0.000 I
0.189 0.356 0.500 I
0.311 0.144 0.000 I
0.356 0.811 0.500 I
0.644 0.189 0.500 I
0.689 0.856 0.000 I
0.811 0.644 0.500 I
0.856 0.311 0.000 I
```

Space group: I4/m, No. 87
Crystal system: tetragonal
Formation energy without anion corrections, eV/f.u.: -1.7
Uncorrected energy, eV per atom: -2.336

Record 15
# CrAgW2

CrAgW2 after structural relaxation (PBE, Alexandria).

```
CrAgW2
1.0
3.157 0.000 0.000
0.000 4.396 0.000
0.000 0.000 8.984
Cr Ag W
2 2 4
direct
0.000 0.000 0.000 Cr
0.500 0.500 0.000 Cr
0.000 0.500 0.253 Ag
0.500 0.000 0.253 Ag
0.000 0.000 0.524 W
0.000 0.500 0.776 W
0.500 0.000 0.776 W
0.500 0.500 0.524 W
```

Space group: Cmm2, No. 35
Crystal system: orthorhombic
Uncorrected energy, eV per atom: -9.208

Record 16
# Ac3SnBi2

Ac3SnBi2 after structural relaxation (PBE, Alexandria).

```
Ac3SnBi2
1.0
7.757 -3.437 0.000
7.757 3.437 0.000
-2.970 0.000 9.135
Ac Sn Bi
6 2 4
direct
0.000 0.000 0.250 Ac
0.000 0.000 0.750 Ac
0.334 0.334 0.417 Ac
0.334 0.334 0.917 Ac
0.666 0.666 0.083 Ac
0.666 0.666 0.583 Ac
0.500 0.500 0.250 Sn
0.500 0.500 0.750 Sn
0.168 0.168 0.084 Bi
0.168 0.168 0.584 Bi
0.832 0.832 0.416 Bi
0.832 0.832 0.916 Bi
```

Space group: C2/c, No. 15
Crystal system: monoclinic
Uncorrected energy, eV per atom: -4.849

Record 17
# BeVSb2

BeVSb2 after structural relaxation (PBE, Alexandria).

```
BeVSb2
1.0
6.038 0.000 0.000
0.000 6.038 0.000
0.000 0.000 11.283
Be V Sb
4 4 8
direct
0.000 0.000 0.000 Be
0.000 0.500 0.250 Be
0.500 0.000 0.750 Be
0.500 0.500 0.500 Be
0.000 0.000 0.500 V
0.000 0.500 0.750 V
0.500 0.000 0.250 V
0.500 0.500 0.000 V
0.227 0.250 0.125 Sb
0.250 0.727 0.375 Sb
0.250 0.773 0.875 Sb
0.273 0.250 0.625 Sb
0.727 0.750 0.625 Sb
0.750 0.227 0.875 Sb
0.750 0.273 0.375 Sb
0.773 0.750 0.125 Sb
```

Space group: I-42d, No. 122
Crystal system: tetragonal
Formation energy without anion corrections, eV/f.u.: 2.0
Uncorrected energy, eV per atom: -4.784

Record 18
# HfFeTe3

HfFeTe3 after structural relaxation (PBE, Alexandria).

```
HfFeTe3
1.0
5.553 0.000 0.000
0.000 5.553 0.000
0.000 0.000 5.553
Hf Fe Te
1 1 3
direct
0.000 0.000 0.000 Hf
0.500 0.500 0.500 Fe
0.000 0.000 0.500 Te
0.000 0.500 0.000 Te
0.500 0.000 0.000 Te
```

Space group: Pm-3m, No. 221
Crystal system: cubic
Formation energy without anion corrections, eV/f.u.: 2.5
Uncorrected energy, eV per atom: -5.078

Record 19
# BC3

BC3 after structural relaxation (PBE, Alexandria).

```
BC3
1.0
5.790 -1.298 0.000
5.790 1.298 0.000
-1.085 0.000 5.054
B C
3 9
direct
0.000 0.000 0.000 B
0.568 0.568 0.484 B
0.689 0.689 0.895 B
0.256 0.256 0.387 C
0.261 0.261 0.881 C
0.338 0.338 0.176 C
0.338 0.338 0.669 C
0.590 0.590 0.059 C
0.679 0.679 0.345 C
0.915 0.915 0.215 C
0.918 0.918 0.707 C
0.995 0.995 0.497 C
```

Space group: Cm, No. 8
Crystal system: monoclinic
Uncorrected energy, eV per atom: -8.272

Record 20
# Bi2SbS5

Bi2SbS5 after structural relaxation (PBE, Alexandria).

```
Bi2SbS5
1.0
2.697 -7.088 0.000
2.697 7.088 0.000
0.000 0.000 12.930
Bi Sb S
4 2 10
direct
0.154 0.846 0.560 Bi
0.154 0.846 0.940 Bi
0.846 0.154 0.060 Bi
0.846 0.154 0.440 Bi
0.174 0.826 0.250 Sb
0.826 0.174 0.750 Sb
0.051 0.949 0.115 S
0.051 0.949 0.385 S
0.280 0.720 0.750 S
0.301 0.699 0.073 S
0.301 0.699 0.427 S
0.699 0.301 0.573 S
0.699 0.301 0.927 S
0.720 0.280 0.250 S
0.949 0.051 0.615 S
0.949 0.051 0.885 S
```

Space group: Cmcm, No. 63
Crystal system: orthorhombic
Formation energy without anion corrections, eV/f.u.: -1.4
Uncorrected energy, eV per atom: -4.237

Record 21
# Nd3AsPtCl

Nd3AsPtCl after structural relaxation (PBE, Alexandria).

```
Nd3AsPtCl
1.0
8.556 0.000 0.000
0.000 4.161 0.000
-2.524 0.000 9.183
Nd As Pt Cl
6 2 2 2
direct
0.076 0.250 0.343 Nd
0.228 0.250 0.008 Nd
0.402 0.750 0.620 Nd
0.598 0.250 0.380 Nd
0.772 0.750 0.992 Nd
0.924 0.750 0.657 Nd
0.321 0.750 0.276 As
0.679 0.250 0.724 As
0.165 0.250 0.659 Pt
0.835 0.750 0.341 Pt
0.392 0.750 0.908 Cl
0.608 0.250 0.092 Cl
```

Space group: P2_1/m, No. 11
Crystal system: monoclinic
Formation energy without anion corrections, eV/f.u.: -7.1
Uncorrected energy, eV per atom: -5.653

Record 22
# DyVInCl6

DyVInCl6 after structural relaxation (PBE, Alexandria).

```
DyVInCl6
1.0
6.640 0.000 0.000
-3.320 5.750 0.000
0.000 0.000 14.369
Dy V In Cl
2 2 2 12
direct
0.333 0.667 0.250 Dy
0.667 0.333 0.750 Dy
0.333 0.667 0.750 V
0.667 0.333 0.250 V
0.000 0.000 0.000 In
0.000 0.000 0.500 In
0.018 0.375 0.648 Cl
0.018 0.644 0.852 Cl
0.356 0.375 0.852 Cl
0.356 0.982 0.648 Cl
0.375 0.018 0.148 Cl
0.375 0.356 0.352 Cl
0.625 0.644 0.648 Cl
0.625 0.982 0.852 Cl
0.644 0.018 0.352 Cl
0.644 0.625 0.148 Cl
0.982 0.356 0.148 Cl
0.982 0.625 0.352 Cl
```

Space group: P-31c, No. 163
Crystal system: trigonal
Formation energy without anion corrections, eV/f.u.: -14.3
Uncorrected energy, eV per atom: -4.646

Record 23
# CoSiRh2Au

CoSiRh2Au after structural relaxation (PBE, Alexandria).

```
CoSiRh2Au
1.0
4.442 0.000 0.000
0.000 4.442 0.000
0.000 0.000 4.714
Co Si Rh Au
1 1 2 1
direct
0.000 0.000 0.000 Co
0.500 0.500 0.500 Si
0.000 0.500 0.000 Rh
0.500 0.000 0.000 Rh
0.000 0.000 0.500 Au
```

Space group: P4/mmm, No. 123
Crystal system: tetragonal
Formation energy without anion corrections, eV/f.u.: 5.3
Uncorrected energy, eV per atom: -5.038

Record 24
# ZrTlMo2

ZrTlMo2 after structural relaxation (PBE, Alexandria).

```
ZrTlMo2
1.0
5.856 0.000 0.000
0.000 9.581 0.000
-1.084 0.000 2.687
Zr Tl Mo
2 2 4
direct
0.000 0.000 0.000 Zr
0.500 0.500 0.000 Zr
0.000 0.500 0.000 Tl
0.500 0.000 0.000 Tl
0.250 0.250 0.500 Mo
0.250 0.750 0.500 Mo
0.750 0.250 0.500 Mo
0.750 0.750 0.500 Mo
```

Space group: C2/m, No. 12
Crystal system: monoclinic
Uncorrected energy, eV per atom: -7.744